An optimized crystal structure of CoPSe2. Source: Alexandria, functional PBE-GGA.

Cell and atoms, written as CIF:
```
data_CoPSe2
_chemical_formula_sum 'Co1 P1 Se2'
_cell_length_a 2.7745
_cell_length_b 2.7745
_cell_length_c 9.4076
_cell_angle_alpha 90.00
_cell_angle_beta 90.00
_cell_angle_gamma 90.00
_space_group_name_H-M_alt 'P 4/m m m'
_space_group_IT_number 123
_space_group_name_Hall '-P 4 2'
loop_
_atom_site_label
_atom_site_type_symbol
_atom_site_fract_x
_atom_site_fract_y
_atom_site_fract_z
Co1 Co 0.0000 0.0000 0.0000
P1 P 0.0000 0.0000 0.5000
Se1 Se 0.5000 0.5000 0.1713
```

***

An optimized crystal structure of CdP2RuS. Source: Alexandria, functional PBE-GGA.

Cell and atoms, written as CIF:
```
data_CdP2RuS
_chemical_formula_sum 'Cd1 P2 Ru1 S1'
_cell_length_a 4.4626
_cell_length_b 4.4626
_cell_length_c 4.8687
_cell_angle_alpha 90.00
_cell_angle_beta 90.00
_cell_angle_gamma 90.00
_space_group_name_H-M_alt 'P 4/m m m'
_space_group_IT_number 123
_space_group_name_Hall '-P 4 2'
loop_
_atom_site_label
_atom_site_type_symbol
_atom_site_fract_x
_atom_site_fract_y
_atom_site_fract_z
Cd1 Cd 0.0000 0.0000 0.0000
P1 P 0.0000 0.5000 0.5000
Ru1 Ru 0.5000 0.5000 0.0000
S1 S 0.0000 0.0000 0.5000
```

***

An optimized crystal structure of Mn2ZnS. Source: Alexandria, functional PBE-GGA.

Cell and atoms, written as CIF:
```
data_Mn2ZnS
_chemical_formula_sum 'Mn8 Zn4 S4'
_cell_length_a 6.6041
_cell_length_b 6.6041
_cell_length_c 5.4377
_cell_angle_alpha 90.00
_cell_angle_beta 90.00
_cell_angle_gamma 90.00
_space_group_name_H-M_alt 'I -4 2 d'
_space_group_IT_number 122
_space_group_name_Hall 'I -4 2bw'
loop_
_atom_site_label
_atom_site_type_symbol
_atom_site_fract_x
_atom_site_fract_y
_atom_site_fract_z
Mn1 Mn 0.2157 0.2500 0.1250
Zn1 Zn 0.0000 0.0000 0.5000
S1 S 0.0000 0.0000 0.0000
```

***

no.,size of the total moment (μB per formula unit),uncorrected formation energy (eV per atom)
1,0.0,0.4708
2,1.7,1.2476
3,6.0,0.1625